The following is a PBE calculation of an optimized crystal structure of CeScCdTc, from Alexandria via LeMat-Bulk.

The structure in POSCAR format:
```
CeScCdTc
1.0
0.000 3.503 3.503
3.503 0.000 3.503
3.503 3.503 0.000
Ce Sc Cd Tc
1 1 1 1
direct
0.000 0.000 0.000
0.500 0.500 0.500
0.250 0.250 0.250
0.750 0.750 0.750
```

Final energy ... -23.807 eV/cell
ΔE_f ... -0.065 eV per atom